# TbAuSeO (PBE, relaxed)
data_TbAuSeO
_chemical_formula_sum 'Tb4 Au4 Se4 O4'
_cell_length_a 9.4811
_cell_length_b 5.5880
_cell_length_c 5.5911
_cell_angle_alpha 90.00
_cell_angle_beta 90.00
_cell_angle_gamma 90.00
_symmetry_space_group_name_H-M 'P b c m'
_symmetry_Int_Tables_number 57
_symmetry_space_group_name_Hall '-P 2c 2b'
loop_
_atom_site_label
_atom_site_fract_x
_atom_site_fract_y
_atom_site_fract_z
Tb1 0.1185 0.0011 0.2500
Au1 0.4954 0.2500 0.0000
Se1 0.2836 0.5020 0.2500
O1 0.9995 0.2500 0.0000
# Magnetization = 0.00 Bohr magnetons per cell
# Volume = 296.22 Å³ per cell
# Excess energy over the best structure of this formula in the dataset = 0.33 eV per formula unit

***

# TbAuSeO (PBE, relaxed)
data_TbAuSeO
_chemical_formula_sum 'Tb2 Au2 Se2 O2'
_cell_length_a 4.2474
_cell_length_b 6.1482
_cell_length_c 6.6064
_cell_angle_alpha 90.00
_cell_angle_beta 90.00
_cell_angle_gamma 90.00
_symmetry_space_group_name_H-M 'P m c 21'
_symmetry_Int_Tables_number 26
_symmetry_space_group_name_Hall 'P 2c -2'
loop_
_atom_site_label
_atom_site_fract_x
_atom_site_fract_y
_atom_site_fract_z
Tb1 0.0000 0.2018 0.0000
Au1 0.5000 0.2561 0.6471
Se1 0.5000 0.3524 0.2584
O1 0.0000 0.0684 0.6971
# Magnetization = 0.00 Bohr magnetons per cell
# Volume = 172.52 Å³ per cell
# Excess energy over the best structure of this formula in the dataset = 1.90 eV per formula unit